No. 1
VASP calculation (PBE) on a relaxed structure of Ta2IrPb.

Results
Crystal system   orthorhombic
DFT formation energy   0.09 eV per atom

Cell: 2.9911 2.9911 8.3520 Å, 90.00 90.00 93.01°
Last column: nearest neighbours and their distance in Å.
Positions (direct):
Ta1 0.0000 0.0000 0.4714  4 Ir 2.77-2.85, 4 Ta 2.99
Ta2 0.0000 0.0000 0.0286  4 Ir 2.77-2.85, 4 Ta 2.99
Pb1 0.5000 0.5000 0.7500  4 Pb 2.99, 8 Ta 3.11-3.18
Ir1 0.5000 0.5000 0.2500  8 Ta 2.77-2.85, 4 Ir 2.99

***

No. 2
VASP calculation (PBE) on a relaxed structure of RbAc2CdO5.

Results
Crystal system   tetragonal
Uncorrected formation energy   -2.21 eV per atom

Cell: 7.2786 7.2786 8.1607 Å, 116.48 116.48 90.00°
Last column: nearest neighbours and their distance in Å.
Positions (direct):
O1 0.0000 0.0000 0.0000  4 Ac 2.69
Ac1 0.1742 0.3258 0.0000  4 O 2.44-2.69
O2 0.2578 0.7578 0.2377  1 Cd 2.19, 1 Ac 2.44
O3 0.2422 0.0202 0.7623  1 Cd 2.19, 1 Ac 2.44
O4 0.7422 0.2422 0.7623  1 Cd 2.19, 1 Ac 2.44
O5 0.5000 0.5000 0.0000  4 Ac 2.69
O6 0.9798 0.4798 0.2377  1 Cd 2.19, 1 Ac 2.44
O7 0.0202 0.5202 0.7623  1 Cd 2.19, 1 Ac 2.44
Cd1 0.2500 0.7500 0.5000  4 O 2.19
Ac2 0.6742 0.1742 0.0000  4 O 2.44-2.69
Ac3 0.8258 0.6742 0.0000  4 O 2.44-2.69
O8 0.7578 0.9798 0.2377  1 Cd 2.19, 1 Ac 2.44
Rb1 0.7500 0.7500 0.5000  10 O 3.17-3.27
Ac4 0.3258 0.8258 0.0000  4 O 2.44-2.69
O9 0.4798 0.2578 0.2377  1 Cd 2.19, 1 Ac 2.44
Rb2 0.2500 0.2500 0.5000  10 O 3.17-3.27
Cd2 0.7500 0.2500 0.5000  4 O 2.19
O10 0.5202 0.7422 0.7623  1 Cd 2.19, 1 Ac 2.44

***

No. 3
VASP calculation (PBE) on a relaxed structure of Sn2HgSe.

Results
Offset from the most stable computed form   0.073 eV per atom
Crystal system   tetragonal
Uncorrected formation energy   -0.04 eV per atom

Cell: 3.7225 3.7225 7.4492 Å, 90.00 90.00 90.00°
Last column: nearest neighbours and their distance in Å.
Positions (direct):
Se1 0.5000 0.5000 0.0000  8 Sn 3.13
Sn1 0.0000 0.0000 0.7734  4 Se 3.13, 4 Hg 3.33, 1 Sn 3.38
Hg1 0.5000 0.5000 0.5000  8 Sn 3.33, 4 Hg 3.72, 2 Se 3.72
Sn2 0.0000 0.0000 0.2266  4 Se 3.13, 4 Hg 3.33, 1 Sn 3.38

***

No. 4
VASP calculation (PBE) on a relaxed structure of SnW2Se2.

Results
Offset from the most stable computed form   0.000 eV per atom
Crystal system   tetragonal
Uncorrected formation energy   0.31 eV per atom

Cell: 3.7286 3.7286 9.6022 Å, 78.80 78.80 90.00°
Last column: nearest neighbours and their distance in Å.
Positions (direct):
Sn1 0.0000 0.0000 0.0000  4 Sn 3.73, 8 Se 3.81
Se1 0.3508 0.3508 0.2983  4 W 2.63
Se2 0.6492 0.6492 0.7017  4 W 2.63
W1 0.7500 0.2500 0.5000  4 Se 2.63, 4 W 2.64
W2 0.2500 0.7500 0.5000  4 Se 2.63, 4 W 2.64

***

No. 5
VASP calculation (PBE) on a relaxed structure of TiBe2VMo.

Results
Crystal system   tetragonal
DFT formation energy   1.14 eV per atom

Cell: 4.1958 4.0558 4.1958 Å, 90.00 90.00 90.00°
Last column: nearest neighbours and their distance in Å.
Positions (direct):
Be1 0.5000 0.0000 0.0000  2 V 2.10
Be2 0.0000 0.0000 0.5000  2 V 2.10
V1 0.0000 0.0000 0.0000  2 Ti 2.03, 4 Be 2.10
Mo1 0.5000 0.5000 0.5000  8 Be 2.92, 4 Ti 2.97
Ti1 0.0000 0.5000 0.0000  2 V 2.03

***

No. 6
VASP calculation (PBE) on a relaxed structure of Zr3Br.

Results
Offset from the most stable computed form   0.270 eV per atom
Crystal system   monoclinic
Uncorrected formation energy   0.02 eV per atom

Cell: 5.5550 5.5550 5.3140 Å, 75.62 75.62 34.37°
Last column: nearest neighbours and their distance in Å.
Positions (direct):
Br1 0.0000 0.0000 0.0000  8 Zr 3.00-3.12, 2 Br 3.28
Zr1 0.5000 0.5000 0.5000  4 Br 3.12, 8 Zr 3.16-3.28
Zr2 0.7372 0.7372 0.7572  2 Br 3.00, 9 Zr 3.13-3.28
Zr3 0.2628 0.2628 0.2428  2 Br 3.00, 9 Zr 3.13-3.28

***

No. 7
VASP calculation (PBE) on a relaxed structure of HfTl3N.

Results
Offset from the most stable computed form   0.734 eV per atom
Crystal system   cubic
Uncorrected formation energy   1.76 eV per atom

Cell: 5.6352 5.6352 5.6352 Å, 90.00 90.00 90.00°
Last column: nearest neighbours and their distance in Å.
Positions (direct):
Tl1 0.0000 0.0000 0.5000  2 Hf 2.82
Tl2 0.0000 0.5000 0.0000  2 Hf 2.82
N1 0.5000 0.5000 0.5000  12 Tl 3.98
Hf1 0.0000 0.0000 0.0000  6 Tl 2.82
Tl3 0.5000 0.0000 0.0000  2 Hf 2.82

***

No. 8
VASP calculation (PBE) on a relaxed structure of BiW3N.

Results
Offset from the most stable computed form   0.000 eV per atom
Crystal system   cubic
Uncorrected formation energy   0.64 eV per atom

Cell: 4.2694 4.2694 4.2694 Å, 90.00 90.00 90.00°
Last column: nearest neighbours and their distance in Å.
Positions (direct):
W1 0.0000 0.0000 0.5000  2 N 2.13
N1 0.0000 0.0000 0.0000  6 W 2.13
W2 0.5000 0.0000 0.0000  2 N 2.13
W3 0.0000 0.5000 0.0000  2 N 2.13
Bi1 0.5000 0.5000 0.5000  12 W 3.02

***

No. 9
VASP calculation (PBE) on a relaxed structure of ScCu2Si.

Results
Crystal system   tetragonal
Uncorrected formation energy   -0.17 eV per atom

Cell: 3.0566 3.0508 6.3364 Å, 90.00 90.00 90.00°
Last column: nearest neighbours and their distance in Å.
Positions (direct):
Cu1 0.5000 0.5000 0.2085  4 Cu 2.55, 1 Si 2.60, 4 Sc 2.83
Cu2 0.0000 0.0000 0.9954  4 Si 2.49, 4 Cu 2.55
Si1 0.5000 0.5000 0.7985  5 Cu 2.49-2.60
Sc1 0.0000 0.0000 0.4977  5 Cu 2.83-3.15, 4 Si 2.88, 4 Sc 3.05-3.06

***

No. 10
VASP calculation (PBE) on a relaxed structure of NdMgTlGa.

Results
Offset from the most stable computed form   0.065 eV per atom
Crystal system   cubic
DFT formation energy   -0.29 eV per atom

Cell: 5.1963 5.1963 5.1963 Å, 60.00 60.00 60.00°
Last column: nearest neighbours and their distance in Å.
Positions (direct):
Mg1 0.5000 0.5000 0.5000  4 Tl 3.18, 4 Ga 3.18
Nd1 0.0000 0.0000 0.0000  4 Ga 3.18, 4 Tl 3.18
Tl1 0.7500 0.7500 0.7500  4 Mg 3.18, 4 Nd 3.18
Ga1 0.2500 0.2500 0.2500  4 Mg 3.18, 4 Nd 3.18

***

No. 11
VASP calculation (PBE) on a relaxed structure of Nd2Si4Ni3Ru.

Results
Crystal system   tetragonal
Uncorrected formation energy   -0.82 eV per atom

Cell: 4.0495 4.0495 9.7842 Å, 90.00 90.00 90.00°
Last column: nearest neighbours and their distance in Å.
Positions (direct):
Ni1 0.0000 0.0000 0.5000  4 Si 2.40
Nd1 0.5000 0.0000 0.2408  6 Ni 3.09-3.25, 8 Si 3.11-3.13, 2 Ru 3.25
Si1 0.5000 0.0000 0.6310  2 Ru 2.40, 3 Ni 2.40-2.41
Nd2 0.0000 0.5000 0.7592  6 Ni 3.09-3.25, 8 Si 3.11-3.13, 2 Ru 3.25
Ni2 0.5000 0.0000 0.8779  5 Si 2.35-2.41
Ni3 0.0000 0.5000 0.1221  5 Si 2.35-2.41
Ru1 0.5000 0.5000 0.5000  4 Si 2.40
Si2 0.0000 0.5000 0.3690  2 Ru 2.40, 3 Ni 2.40-2.41
Si3 0.0000 0.0000 0.0000  4 Ni 2.35
Si4 0.5000 0.5000 0.0000  4 Ni 2.35

***

No. 12
VASP calculation (PBE) on a relaxed structure of Sm6Te5Au.

Results
Crystal system   monoclinic
Uncorrected formation energy   -1.32 eV per atom

Cell: 7.6644 7.6644 7.6690 Å, 99.60 99.60 119.84°
Last column: nearest neighbours and their distance in Å.
Positions (direct):
Te1 0.3358 0.6642 0.0000  6 Sm 3.14-3.15
Te2 0.6642 0.3358 0.0000  6 Sm 3.14-3.15
Sm1 0.6054 0.9223 0.7636  1 Au 2.97, 5 Te 3.14-3.21
Te3 0.8245 0.1755 0.5000  6 Sm 3.14-3.21
Sm2 0.3946 0.0777 0.2364  1 Au 2.97, 5 Te 3.14-3.21
Sm3 0.9223 0.6054 0.7636  1 Au 2.97, 5 Te 3.14-3.21
Sm4 0.0777 0.3946 0.2364  1 Au 2.97, 5 Te 3.14-3.21
Sm5 0.2341 0.2341 0.7554  1 Au 3.00, 5 Te 3.14-3.27
Sm6 0.7659 0.7659 0.2446  1 Au 3.00, 5 Te 3.14-3.27
Te4 0.5000 0.5000 0.5000  6 Sm 3.14-3.27
Te5 0.1755 0.8245 0.5000  6 Sm 3.14-3.21
Au1 0.0000 0.0000 0.0000  6 Sm 2.97-3.00

***

No. 13
VASP calculation (PBE) on a relaxed structure of K2TaCd.

Results
Crystal system   tetragonal
DFT formation energy   0.78 eV per atom

Cell: 3.2896 3.2896 11.7894 Å, 90.00 90.00 90.00°
Last column: nearest neighbours and their distance in Å.
Positions (direct):
K1 0.0000 0.0000 0.9456  4 K 3.29
Cd1 0.5000 0.5000 0.7027  4 Ta 2.94, 4 Cd 3.29
Ta1 0.0000 0.0000 0.5503  4 Cd 2.94, 4 Ta 3.29
K2 0.5000 0.5000 0.3014  4 K 3.29

***

No. 14
VASP calculation (PBE) on a relaxed structure of BeCrSe2Br.

Results
Offset from the most stable computed form   0.231 eV per atom
Crystal system   tetragonal
Uncorrected formation energy   0.51 eV per atom

Cell: 4.8071 4.8071 5.0888 Å, 90.00 90.00 90.00°
Last column: nearest neighbours and their distance in Å.
Positions (direct):
Be1 0.5000 0.5000 0.5000  4 Br 3.40, 8 Se 3.50
Se1 0.5000 0.0000 0.0000  2 Cr 2.40
Br1 0.0000 0.0000 0.5000  2 Cr 2.54
Cr1 0.0000 0.0000 0.0000  4 Se 2.40, 2 Br 2.54
Se2 0.0000 0.5000 0.0000  2 Cr 2.40

***

No. 15
VASP calculation (PBE) on a relaxed structure of Sr2SmHfO6.

Results
Crystal system   monoclinic
Uncorrected formation energy   -3.02 eV per atom

Cell: 5.9503 6.1019 8.4778 Å, 90.00 90.09 90.00°
Last column: nearest neighbours and their distance in Å.
Positions (direct):
O1 0.3075 0.7229 0.4420  1 Hf 2.10, 1 Sm 2.33
Sm1 0.5000 0.0000 0.0000  6 O 2.31-2.33
Sr1 0.9856 0.0451 0.7479  6 O 2.52-2.82
Hf1 0.5000 0.0000 0.5000  6 O 2.09-2.10
Sr2 0.5144 0.5451 0.7521  6 O 2.52-2.82
O2 0.2799 0.6958 0.0498  1 Hf 2.09, 1 Sm 2.31
Sr3 0.0144 0.9549 0.2521  6 O 2.52-2.82
O3 0.3998 0.9605 0.7355  1 Hf 2.10, 1 Sm 2.33
O4 0.7201 0.3042 0.9502  1 Hf 2.09, 1 Sm 2.31
O5 0.7799 0.8042 0.5498  1 Hf 2.09, 1 Sm 2.31
Sm2 0.0000 0.5000 0.5000  6 O 2.31-2.33
O6 0.1925 0.2229 0.0580  1 Hf 2.10, 1 Sm 2.33
O7 0.8998 0.5395 0.2355  1 Hf 2.10, 1 Sm 2.33
O8 0.6925 0.2771 0.5580  1 Hf 2.10, 1 Sm 2.33
O9 0.1002 0.4605 0.7645  1 Hf 2.10, 1 Sm 2.33
Hf2 0.0000 0.5000 0.0000  6 O 2.09-2.10
Sr4 0.4856 0.4549 0.2479  6 O 2.52-2.82
O10 0.2201 0.1958 0.4502  1 Hf 2.09, 1 Sm 2.31
O11 0.8075 0.7771 0.9420  1 Hf 2.10, 1 Sm 2.33
O12 0.6002 0.0395 0.2645  1 Hf 2.10, 1 Sm 2.33

***

No. 16
VASP calculation (PBE) on a relaxed structure of Mg7Cd4Ag.

Results
Offset from the most stable computed form   0.101 eV per atom
Crystal system   monoclinic
DFT formation energy   0.04 eV per atom

Cell: 5.0593 8.5017 7.4531 Å, 80.19 70.16 72.69°
Last column: nearest neighbours and their distance in Å.
Positions (direct):
Cd1 0.7062 0.6488 0.9387  8 Mg 2.90-3.09, 1 Cd 3.21
Mg1 0.9347 0.3172 0.8134  1 Ag 2.80, 5 Cd 2.90-3.09
Mg2 0.0653 0.6828 0.1866  1 Ag 2.80, 5 Cd 2.90-3.09
Cd2 0.5701 0.2163 0.6434  8 Mg 2.84-3.10
Cd3 0.2938 0.3512 0.0613  8 Mg 2.90-3.09, 1 Cd 3.21
Mg3 0.2166 0.1374 0.4293  4 Cd 2.95-3.03, 2 Mg 3.16-3.29
Mg4 0.3501 0.5890 0.7108  5 Cd 2.84-3.10
Mg5 0.5000 0.0000 0.0000  2 Ag 2.53
Mg6 0.6499 0.4110 0.2892  5 Cd 2.84-3.10
Mg7 0.7834 0.8626 0.5707  4 Cd 2.95-3.03, 2 Mg 3.16-3.29
Ag1 0.0000 0.0000 0.0000  4 Mg 2.53-2.80
Cd4 0.4299 0.7837 0.3566  8 Mg 2.84-3.10

***

No. 17
VASP calculation (PBE) on a relaxed structure of LaTb3Pm6Pr2.

Results
Crystal system   monoclinic
DFT formation energy   0.02 eV per atom

Cell: 6.3276 6.3276 12.1019 Å, 95.02 95.02 120.01°
Last column: nearest neighbours and their distance in Å.
Positions (direct):
Pm1 0.2484 0.2484 0.7450  3 Tb 3.60, 6 Pm 3.65, 2 Pr 3.70, 1 La 3.70
Pm2 0.5814 0.9149 0.7452  3 Tb 3.60-3.61, 6 Pm 3.65-3.66, 2 Pr 3.70, 1 La 3.70
Pm3 0.9149 0.5814 0.7452  3 Tb 3.60-3.61, 6 Pm 3.65-3.66, 2 Pr 3.70, 1 La 3.70
Pr1 0.6665 0.3335 0.0000  3 Pr 3.65, 3 La 3.65-3.66, 6 Pm 3.70
Pm4 0.4186 0.0851 0.2548  3 Tb 3.60-3.61, 6 Pm 3.65-3.66, 2 Pr 3.70, 1 La 3.70
Tb1 0.1669 0.8331 0.5000  6 Pm 3.60-3.61, 6 Tb 3.65-3.66
La1 0.0000 0.0000 0.0000  6 Pr 3.65-3.66, 6 Pm 3.70
Tb2 0.8331 0.1669 0.5000  6 Pm 3.60-3.61, 6 Tb 3.65-3.66
Pm5 0.0851 0.4186 0.2548  3 Tb 3.60-3.61, 6 Pm 3.65-3.66, 2 Pr 3.70, 1 La 3.70
Pm6 0.7516 0.7516 0.2550  3 Tb 3.60, 6 Pm 3.65, 2 Pr 3.70, 1 La 3.70
Pr2 0.3335 0.6665 0.0000  3 Pr 3.65, 3 La 3.65-3.66, 6 Pm 3.70
Tb3 0.5000 0.5000 0.5000  6 Pm 3.60, 6 Tb 3.65

***

No. 18
VASP calculation (PBE) on a relaxed structure of Y2AgAs.

Results
Crystal system   monoclinic
DFT formation energy   -0.80 eV per atom

Cell: 4.1206 4.1206 7.4801 Å, 74.08 74.08 59.93°
Last column: nearest neighbours and their distance in Å.
Positions (direct):
Y1 0.5083 0.5083 0.4760  3 As 2.87, 3 Ag 3.07
Y2 0.9917 0.9917 0.0240  3 As 2.87, 3 Ag 3.07
Ag1 0.7500 0.7500 0.7500  6 Y 3.07
As1 0.2500 0.2500 0.2500  6 Y 2.87

***

No. 19
VASP calculation (PBE) on a relaxed structure of Ti2TlTe.

Results
Offset from the most stable computed form   0.000 eV per atom
Crystal system   cubic
Uncorrected formation energy   0.05 eV per atom

Cell: 4.8687 4.8687 4.8687 Å, 60.00 60.00 60.00°
Last column: nearest neighbours and their distance in Å.
Positions (direct):
Ti1 0.2500 0.2500 0.2500  4 Tl 2.98, 4 Te 2.98
Te1 0.0000 0.0000 0.0000  8 Ti 2.98
Tl1 0.5000 0.5000 0.5000  8 Ti 2.98
Ti2 0.7500 0.7500 0.7500  4 Te 2.98, 4 Tl 2.98

***

No. 20
VASP calculation (PBE) on a relaxed structure of DyZnGa2Ni4.

Results
Crystal system   trigonal
DFT formation energy   -0.40 eV per atom

Cell: 4.0657 4.0657 8.4605 Å, 76.10 76.10 60.00°
Last column: nearest neighbours and their distance in Å.
Positions (direct):
Dy1 0.0000 0.0000 0.0000  8 Ni 2.90-3.18
Ni1 0.4033 0.4033 0.7902  1 Zn 2.36, 3 Ga 2.41
Zn1 0.5000 0.5000 0.5000  8 Ni 2.36-2.51
Ga1 0.7589 0.7589 0.7233  6 Ni 2.41-2.53
Ni2 0.1304 0.1304 0.6089  3 Zn 2.51, 4 Ga 2.53-2.70, 3 Ni 2.77
Ni3 0.8696 0.8696 0.3911  3 Zn 2.51, 4 Ga 2.53-2.70, 3 Ni 2.77
Ga2 0.2411 0.2411 0.2767  6 Ni 2.41-2.53
Ni4 0.5967 0.5967 0.2098  1 Zn 2.36, 3 Ga 2.41